Entry 1:
# Li4LaHg (GGA-PBEsol, relaxed)
# - formation energy from the elements (eV/atom) = -0.143
# - N(E_F) (states/eV/cell) = 16.8
# - total energy (eV/atom) = -2.44
data_Li4LaHg
_chemical_formula_sum 'Li16 La4 Hg4'
_cell_length_a 7.781
_cell_length_b 7.781
_cell_length_c 7.781
_cell_angle_alpha 90.00
_cell_angle_beta 90.00
_cell_angle_gamma 90.00
_space_group_name_H-M_alt 'F -4 3 m'
_space_group_IT_number 216
_space_group_name_Hall 'F -4 2 3'
loop_
_atom_site_label
_atom_site_type_symbol
_atom_site_fract_x
_atom_site_fract_y
_atom_site_fract_z
Li1 Li 0.122 0.122 0.378
La1 La 0.000 0.000 0.000
Hg1 Hg 0.250 0.250 0.750



Entry 2:
# LiLa2Hg2 (GGA-PBEsol, relaxed)
# - formation energy from the elements (eV/atom) = -0.412
# - N(E_F) (states/eV/cell) = 10.1
# - total energy (eV/atom) = -3.17
data_LiLa2Hg2
_chemical_formula_sum 'Li2 La4 Hg4'
_cell_length_a 7.548
_cell_length_b 7.548
_cell_length_c 4.764
_cell_angle_alpha 90.00
_cell_angle_beta 90.00
_cell_angle_gamma 90.00
_space_group_name_H-M_alt 'P 4/m b m'
_space_group_IT_number 127
_space_group_name_Hall '-P 4 2ab'
loop_
_atom_site_label
_atom_site_type_symbol
_atom_site_fract_x
_atom_site_fract_y
_atom_site_fract_z
Li1 Li 0.000 0.000 0.000
La1 La 0.148 0.352 0.500
Hg1 Hg 0.150 0.650 0.000



Among the records above, which one has the lowest total energy? LiLa2Hg2